Density functional theory data (GGA+U) for PaCrRuO6 after structural relaxation.

Summary:
VASP energy ... -8.27 eV per atom
Total magnetization ... 10.02 Bohr magnetons per cell

Cell and atoms, written as CIF:
```
data_PaCrRuO6
_cell_length_a 5.3275
_cell_length_b 5.3275
_cell_length_c 8.7701
_cell_angle_alpha 90.00
_cell_angle_beta 90.00
_cell_angle_gamma 120.00
_symmetry_space_group_name_H-M 'P -3 1 c'
_symmetry_Int_Tables_number 163
_symmetry_space_group_name_Hall '-P 3 2c'
loop_
_atom_site_label
_atom_site_type_symbol
_atom_site_fract_x
_atom_site_fract_y
_atom_site_fract_z
Pa1 Pa 0.3333 0.6667 0.2500
Cr1 Cr 0.3333 0.6667 0.7500
Ru1 Ru 0.0000 0.0000 0.0000
O1 O 0.0205 0.3326 0.6257
```